HoZr2BeN4 GGA-PBE relaxed; V = 11.70 Å³/atom; formation energy from raw total energies = -1.53 eV per atom; total magnetization = 0.0 μB per formula unit
1.0
1.607 -5.369 0.000
1.607 5.369 0.000
0.000 0.000 10.844
Ho Zr Be N
2 4 2 8
direct
0.105 0.895 0.750
0.895 0.105 0.250
0.370 0.630 0.552
0.370 0.630 0.948
0.630 0.370 0.052
0.630 0.370 0.448
0.172 0.828 0.250
0.828 0.172 0.750
0.000 0.000 0.000
0.000 0.000 0.500
0.271 0.729 0.126
0.271 0.729 0.374
0.427 0.573 0.750
0.573 0.427 0.250
0.729 0.271 0.626
0.729 0.271 0.874


HoBeNb GGA-PBE relaxed; V = 19.04 Å³/atom; calculated formation energy = 198 meV/atom; total magnetization = 0.0 μB per formula unit
1.0
2.396 -2.403 0.000
2.396 2.403 0.000
0.000 0.000 9.920
Ho Be Nb
2 2 2
direct
0.000 0.000 0.173
0.000 0.000 0.827
0.000 0.000 0.500
0.500 0.500 0.000
0.500 0.500 0.381
0.500 0.500 0.619


NdHo2Be GGA-PBE relaxed; V = 29.78 Å³/atom; calculated formation energy = 708 meV/atom; total magnetization = 0.0 μB per formula unit
1.0
1.736 1.002 11.416
-1.736 1.002 11.416
0.000 -2.004 11.416
Nd Ho Be
1 2 1
direct
0.000 0.000 0.000
0.417 0.417 0.417
0.583 0.583 0.583
0.500 0.500 0.500


NdHoBe GGA-PBE relaxed; V = 25.09 Å³/atom; calculated formation energy = 120 meV/atom; total magnetization = 0.0 μB per formula unit
1.0
-1.762 1.762 6.060
1.762 -1.762 6.060
1.762 1.762 -6.060
Nd Ho Be
1 1 1
direct
0.000 0.000 0.000
0.271 0.271 0.000
0.647 0.647 0.000


NdHo2Be GGA-PBE relaxed; V = 26.18 Å³/atom; calculated formation energy = 64 meV/atom; total magnetization = 0.0 μB per formula unit
1.0
3.458 0.000 0.000
0.000 3.458 0.000
0.000 0.000 8.757
Nd Ho Be
1 2 1
direct
0.000 0.000 0.000
0.500 0.500 0.312
0.500 0.500 0.688
0.000 0.000 0.500


HoBe4Ni8 GGA-PBE relaxed; V = 10.84 Å³/atom; calculated formation energy = -361 meV/atom; total magnetization = 0.0 μB per formula unit
1.0
-3.934 3.934 2.276
3.934 -3.934 2.276
3.934 3.934 -2.276
Ho Be Ni
1 4 8
direct
0.000 0.000 0.000
0.000 0.000 0.500
0.000 0.500 0.000
0.500 0.000 0.000
0.500 0.500 0.500
0.000 0.349 0.349
0.000 0.651 0.651
0.274 0.500 0.774
0.349 0.000 0.349
0.500 0.274 0.774
0.500 0.726 0.226
0.651 0.000 0.651
0.726 0.500 0.226


Ho2BeNi GGA-PBE relaxed; V = 19.19 Å³/atom; calculated formation energy = -176 meV/atom; total magnetization = 0.0 μB per formula unit
1.0
3.394 0.000 0.000
0.000 3.394 0.000
0.000 0.000 6.663
Ho Be Ni
2 1 1
direct
0.000 0.000 0.248
0.000 0.000 0.752
0.500 0.500 0.500
0.500 0.500 0.000


HoBe12Ni6 GGA-PBE relaxed; V = 10.49 Å³/atom; calculated formation energy = -107 meV/atom; total magnetization = 0.0 μB per formula unit
1.0
4.708 2.718 2.597
-4.708 2.718 2.597
0.000 -5.436 2.597
Ho Be Ni
1 12 6
direct
0.000 0.000 0.000
0.112 0.500 0.888
0.112 0.888 0.500
0.121 0.413 0.413
0.413 0.121 0.413
0.413 0.413 0.121
0.500 0.112 0.888
0.500 0.888 0.112
0.587 0.587 0.879
0.587 0.879 0.587
0.879 0.587 0.587
0.888 0.112 0.500
0.888 0.500 0.112
0.268 0.268 0.693
0.268 0.693 0.268
0.307 0.732 0.732
0.693 0.268 0.268
0.732 0.307 0.732
0.732 0.732 0.307


Q: Among the records above, which one has the lowest V?
A: HoBe12Ni6


Q: V of number 8 (HoBe12Ni6)?
A: 10.49 Å³/atom